[1]
Tb6Co2Ir | Alexandria via LeMat-Bulk | PBE-GGA | relaxed; SG = Immm, No. 71
1.0
-4.6711 4.7078 4.7992
4.6711 -4.7078 4.7992
4.6711 4.7078 -4.7992
Tb Co Ir
12 4 2
Direct
0.0131 0.8271 0.1860
0.2548 0.5698 0.3150
0.2548 0.9398 0.6850
0.2648 0.3232 0.5880
0.2648 0.6768 0.9417
0.3590 0.1729 0.1860
0.6410 0.8271 0.8139
0.7352 0.3232 0.0583
0.7352 0.6768 0.4120
0.7452 0.0602 0.3150
0.7452 0.4302 0.6850
0.9869 0.1729 0.8139
0.0000 0.1652 0.1652
0.0000 0.8348 0.8348
0.3862 0.3862 0.0000
0.6138 0.6138 0.0000
0.0000 0.5000 0.5000
0.5000 0.0000 0.5000

=====

[2]
TbThCoIr | Alexandria via LeMat-Bulk | PBE-GGA | relaxed; SG = F-43m, No. 216
1.0
0.0000 3.4767 3.4767
3.4767 0.0000 3.4767
3.4767 3.4767 0.0000
Tb Th Co Ir
1 1 1 1
Direct
0.0000 0.0000 0.0000
0.5000 0.5000 0.5000
0.7500 0.7500 0.7500
0.2500 0.2500 0.2500

=====

[3]
TbTmCoIr | Alexandria via LeMat-Bulk | PBE-GGA | relaxed; SG = F-43m, No. 216
1.0
0.0000 3.3769 3.3769
3.3769 0.0000 3.3769
3.3769 3.3769 0.0000
Tb Tm Co Ir
1 1 1 1
Direct
0.0000 0.0000 0.0000
0.5000 0.5000 0.5000
0.7500 0.7500 0.7500
0.2500 0.2500 0.2500

=====

[4]
CoTc2Ir | Alexandria via LeMat-Bulk | PBE-GGA | relaxed; SG = R-3m, No. 166; energy relative to the lowest polymorph listed for this composition = 219 meV per atom
1.0
1.3542 0.7819 8.6222
-1.3542 0.7819 8.6222
0.0000 -1.5637 8.6222
Co Tc Ir
1 2 1
Direct
0.0000 0.0000 0.0000
0.2530 0.2530 0.2530
0.7470 0.7470 0.7470
0.5000 0.5000 0.5000

=====

[5]
Co3TcIr12 | Alexandria via LeMat-Bulk | PBE-GGA | relaxed; SG = P4/mmm, No. 123
1.0
3.8142 0.0000 0.0000
0.0000 3.8142 0.0000
0.0000 0.0000 15.3042
Co Tc Ir
3 1 12
Direct
0.0000 0.0000 0.0000
0.0000 0.0000 0.2431
0.0000 0.0000 0.7569
0.0000 0.0000 0.5000
0.0000 0.5000 0.1240
0.0000 0.5000 0.3739
0.0000 0.5000 0.6261
0.0000 0.5000 0.8760
0.5000 0.0000 0.1240
0.5000 0.0000 0.3739
0.5000 0.0000 0.6261
0.5000 0.0000 0.8760
0.5000 0.5000 0.0000
0.5000 0.5000 0.2490
0.5000 0.5000 0.5000
0.5000 0.5000 0.7510

=====

[6]
CoTc4Ir | Alexandria via LeMat-Bulk | PBE-GGA | relaxed; SG = F-43m, No. 216
1.0
0.0000 3.5555 3.5555
3.5555 0.0000 3.5555
3.5555 3.5555 0.0000
Co Tc Ir
1 4 1
Direct
0.0000 0.0000 0.0000
0.3744 0.3744 0.3744
0.3744 0.3744 0.8768
0.3744 0.8768 0.3744
0.8768 0.3744 0.3744
0.7500 0.7500 0.7500

=====

[7]
Co3TcIr | Alexandria via LeMat-Bulk | PBE-GGA | relaxed; SG = Pm-3m, No. 221; energy relative to the lowest polymorph listed for this composition = 0 meV per atom
1.0
4.4917 0.0000 0.0000
0.0000 4.4917 0.0000
0.0000 0.0000 4.4917
Co Tc Ir
3 1 1
Direct
0.0000 0.0000 0.5000
0.0000 0.5000 0.0000
0.5000 0.0000 0.0000
0.5000 0.5000 0.5000
0.0000 0.0000 0.0000

=====

[8]
CoTc2Ir | Alexandria via LeMat-Bulk | PBE-GGA | relaxed; SG = Fm-3m, No. 225; energy relative to the lowest polymorph listed for this composition = 527 meV per atom
1.0
0.0000 3.0415 3.0415
3.0415 0.0000 3.0415
3.0415 3.0415 0.0000
Co Tc Ir
1 2 1
Direct
0.0000 0.0000 0.0000
0.2500 0.2500 0.2500
0.7500 0.7500 0.7500
0.5000 0.5000 0.5000

=====

[9]
CoTcIr | Alexandria via LeMat-Bulk | PBE-GGA | relaxed; SG = I4mm, No. 107; energy relative to the lowest polymorph listed for this composition = 187 meV per atom
1.0
-1.5632 1.5632 4.1485
1.5632 -1.5632 4.1485
1.5632 1.5632 -4.1485
Co Tc Ir
1 1 1
Direct
0.0000 0.0000 0.0000
0.6528 0.6528 0.0000
0.3342 0.3342 0.0000

=====

[10]
CoTcIr | Alexandria via LeMat-Bulk | PBE-GGA | relaxed; SG = P-6m2, No. 187; energy relative to the lowest polymorph listed for this composition = 50 meV per atom
1.0
4.1664 0.0000 0.0000
-2.0832 3.6082 0.0000
0.0000 0.0000 2.6683
Co Tc Ir
1 1 1
Direct
0.0000 0.0000 0.0000
0.6667 0.3333 0.0000
0.3333 0.6667 0.5000

=====

[11]
CoTc2Ir | Alexandria via LeMat-Bulk | PBE-GGA | relaxed; SG = F-43m, No. 216; energy relative to the lowest polymorph listed for this composition = 403 meV per atom
1.0
0.0000 3.0299 3.0299
3.0299 0.0000 3.0299
3.0299 3.0299 0.0000
Co Tc Ir
1 2 1
Direct
0.0000 0.0000 0.0000
0.2500 0.2500 0.2500
0.5000 0.5000 0.5000
0.7500 0.7500 0.7500

=====

[12]
CoTc2Ir | Alexandria via LeMat-Bulk | PBE-GGA | relaxed; SG = C2/m, No. 12; energy relative to the lowest polymorph listed for this composition = 167 meV per atom
1.0
4.4751 -1.3480 0.0000
4.4751 1.3480 0.0000
-0.7890 0.0000 4.5179
Co Tc Ir
1 2 1
Direct
0.0000 0.0000 0.0000
0.2509 0.2509 0.7556
0.7491 0.7491 0.2444
0.5000 0.5000 0.5000

=====

[13]
Co4TcIr | Alexandria via LeMat-Bulk | PBE-GGA | relaxed; SG = F-43m, No. 216
1.0
0.0000 3.3063 3.3063
3.3063 0.0000 3.3063
3.3063 3.3063 0.0000
Co Tc Ir
4 1 1
Direct
0.1249 0.1249 0.1249
0.1249 0.1249 0.6254
0.1249 0.6254 0.1249
0.6254 0.1249 0.1249
0.5000 0.5000 0.5000
0.7500 0.7500 0.7500

=====

[14]
CoTc2Ir | Alexandria via LeMat-Bulk | PBE-GGA | relaxed; SG = I4/mmm, No. 139; energy relative to the lowest polymorph listed for this composition = 100 meV per atom
1.0
-1.8677 1.8677 3.8767
1.8677 -1.8677 3.8767
1.8677 1.8677 -3.8767
Co Tc Ir
1 2 1
Direct
0.0000 0.0000 0.0000
0.2500 0.7500 0.5000
0.7500 0.2500 0.5000
0.5000 0.5000 0.0000

=====

[15]
CoTc2Ir | Alexandria via LeMat-Bulk | PBE-GGA | relaxed; SG = Cm, No. 8; energy relative to the lowest polymorph listed for this composition = 139 meV per atom
1.0
4.3983 -1.3371 0.0000
4.3983 1.3371 0.0000
-0.7646 0.0000 4.6346
Co Tc Ir
1 2 1
Direct
0.0000 0.0000 0.0000
0.4999 0.4999 0.4925
0.7442 0.7442 0.2215
0.2480 0.2480 0.7413

=====

[16]
CoTcIr | Alexandria via LeMat-Bulk | PBE-GGA | relaxed; SG = C2/m, No. 12; energy relative to the lowest polymorph listed for this composition = 192 meV per atom
1.0
2.6964 -2.6736 0.0000
2.6964 2.6736 0.0000
-1.3667 0.0000 5.6989
Co Tc Ir
2 2 2
Direct
0.2425 0.7575 0.0000
0.7575 0.2425 0.0000
0.1754 0.1754 0.6899
0.8246 0.8246 0.3101
0.3295 0.3295 0.3036
0.6705 0.6705 0.6964

=====

[17]
CoTc2Ir | Alexandria via LeMat-Bulk | PBE-GGA | relaxed; SG = P4/mmm, No. 123; energy relative to the lowest polymorph listed for this composition = 118 meV per atom
1.0
2.6716 0.0000 0.0000
0.0000 2.6716 0.0000
0.0000 0.0000 7.5634
Co Tc Ir
1 2 1
Direct
0.0000 0.0000 0.0000
0.5000 0.5000 0.2369
0.5000 0.5000 0.7631
0.0000 0.0000 0.5000

=====

[18]
Co3TcIr | Alexandria via LeMat-Bulk | PBE-GGA | relaxed; SG = Pm-3m, No. 221; energy relative to the lowest polymorph listed for this composition = 26 meV per atom
1.0
4.3004 0.0000 0.0000
0.0000 4.3004 0.0000
0.0000 0.0000 4.3004
Co Tc Ir
3 1 1
Direct
0.0000 0.0000 0.5000
0.0000 0.5000 0.0000
0.5000 0.0000 0.0000
0.0000 0.0000 0.0000
0.5000 0.5000 0.5000

=====

[19]
CoTc2Ir | Alexandria via LeMat-Bulk | PBE-GGA | relaxed; SG = Pmmm, No. 47; energy relative to the lowest polymorph listed for this composition = 91 meV per atom
1.0
2.6894 0.0000 0.0000
0.0000 3.7963 0.0000
0.0000 0.0000 5.3181
Co Tc Ir
1 2 1
Direct
0.0000 0.0000 0.0000
0.5000 0.5000 0.2306
0.5000 0.5000 0.7694
0.0000 0.0000 0.5000

=====

[20]
CoTc2Ir | Alexandria via LeMat-Bulk | PBE-GGA | relaxed; SG = P4mm, No. 99; energy relative to the lowest polymorph listed for this composition = 330 meV per atom
1.0
3.1192 0.0000 0.0000
0.0000 3.1192 0.0000
0.0000 0.0000 5.6518
Co Tc Ir
1 2 1
Direct
0.0000 0.0000 0.0000
0.0000 0.0000 0.5286
0.5000 0.5000 0.7961
0.5000 0.5000 0.2467

=====

| no. | theoretical density (g/cm3) | energy of formation (meV per atom) |
| --- | --- | --- |
| 1 | 9.94 | -321 |
| 2 | 12.69 | -456 |
| 3 | 12.48 | -538 |
| 4 | 13.56 | 71 |
| 5 | 19.25 | -17 |
| 6 | 11.88 | 458 |
| 7 | 8.56 | 1662 |
| 8 | 13.20 | 379 |
| 9 | 14.30 | 172 |
| 10 | 14.45 | 35 |
| 11 | 13.35 | 255 |
| 12 | 13.62 | 19 |
| 13 | 12.08 | 98 |
| 14 | 13.73 | -48 |
| 15 | 13.62 | -9 |
| 16 | 14.11 | 176 |
| 17 | 13.75 | -30 |
| 18 | 9.75 | 1688 |
| 19 | 13.68 | -57 |
| 20 | 13.50 | 182 |